1.
This record from Alexandria describes a geometry-optimized Ag2PdSe2 structure. The functional is PBE.

```
Ag2PdSe2
1.0
6.927 0.000 0.000
0.000 6.927 0.000
0.000 0.000 4.171
Ag Pd Se
4 2 4
direct
0.150 0.350 0.000
0.350 0.850 0.000
0.650 0.150 0.000
0.850 0.650 0.000
0.000 0.000 0.500
0.500 0.500 0.500
0.170 0.670 0.500
0.330 0.170 0.500
0.670 0.830 0.500
0.830 0.330 0.500
```

Computed properties:
As for the total energy: -35.94 eV/cell. As for the theoretical density: 7.97 Mg/m³. For the density of states at the Fermi level, the calculation gives 3.747 states/eV per cell. The total magnetization is 0.000 μB/atom.

2.
This record from Alexandria describes a geometry-optimized Ag2Pd8Se structure. The functional is PBE.

```
Ag2Pd8Se
1.0
4.914 0.000 0.000
-1.780 5.133 0.000
-0.207 -2.293 7.283
Ag Pd Se
2 8 1
direct
0.129 0.140 0.351
0.871 0.860 0.649
0.003 0.255 0.015
0.261 0.475 0.713
0.310 0.726 0.443
0.443 0.037 0.822
0.557 0.963 0.178
0.690 0.274 0.557
0.739 0.525 0.287
0.997 0.745 0.985
0.500 0.500 0.000
```

Computed properties:
As for the total energy: -50.80 eV/cell. As for the theoretical density: 10.36 Mg/m³. For the density of states at the Fermi level, the calculation gives 8.199 states/eV per cell. The total magnetization is 0.000 μB/atom.

3.
This record from Alexandria describes a geometry-optimized Ag5PdSe5 structure. The functional is PBE.

```
Ag5PdSe5
1.0
6.179 -2.671 0.000
6.179 2.671 0.000
-2.451 0.000 7.278
Ag Pd Se
5 1 5
direct
0.000 0.000 0.000
0.340 0.340 0.687
0.350 0.350 0.145
0.650 0.650 0.855
0.660 0.660 0.313
0.000 0.000 0.500
0.142 0.142 0.329
0.160 0.160 0.820
0.500 0.500 0.500
0.840 0.840 0.180
0.858 0.858 0.671
```

Computed properties:
As for the total energy: -37.49 eV/cell. As for the theoretical density: 7.19 Mg/m³. For the density of states at the Fermi level, the calculation gives 4.992 states/eV per cell. The total magnetization is 0.000 μB/atom.

4.
This record from Alexandria describes a geometry-optimized AgPd8Se2 structure. The functional is PBE.

```
AgPd8Se2
1.0
4.922 0.000 0.000
-1.150 5.782 0.000
-1.878 -2.889 6.388
Ag Pd Se
1 8 2
direct
0.000 0.000 0.000
0.198 0.905 0.351
0.238 0.455 0.396
0.365 0.649 0.999
0.395 0.928 0.766
0.627 0.162 0.233
0.834 0.430 0.000
0.844 0.061 0.604
0.846 0.556 0.649
0.379 0.306 0.683
0.694 0.624 0.316
```

Computed properties:
As for the total energy: -52.50 eV/cell. As for the theoretical density: 10.20 Mg/m³. For the density of states at the Fermi level, the calculation gives 6.541 states/eV per cell. The total magnetization is 0.000 μB/atom.

5.
This record from Alexandria describes a geometry-optimized AgPd2Se structure. The functional is PBE.

```
AgPd2Se
1.0
3.733 0.000 0.000
0.000 5.906 0.000
-1.854 0.000 6.426
Ag Pd Se
2 4 2
direct
0.016 0.250 0.031
0.984 0.750 0.969
0.377 0.010 0.752
0.377 0.490 0.752
0.623 0.510 0.248
0.623 0.990 0.248
0.214 0.750 0.427
0.786 0.250 0.573
```

Computed properties:
As for the total energy: -34.33 eV/cell. As for the theoretical density: 9.37 Mg/m³. For the density of states at the Fermi level, the calculation gives 3.893 states/eV per cell. The total magnetization is 0.000 μB/atom.

6.
This record from Alexandria describes a geometry-optimized AgPd2Se structure. The functional is PBE.

```
AgPd2Se
1.0
4.683 0.000 0.000
0.000 4.683 0.000
0.000 0.000 3.064
Ag Pd Se
1 2 1
direct
0.000 0.000 0.000
0.000 0.500 0.500
0.500 0.000 0.500
0.500 0.500 0.000
```

Computed properties:
As for the total energy: -16.96 eV/cell. As for the theoretical density: 9.88 Mg/m³. For the density of states at the Fermi level, the calculation gives 1.932 states/eV per cell. The total magnetization is 0.000 μB/atom.